Material: Tl2CrO
Method: DFT, PBE with a Hubbard U
State: optimized geometry

Lattice parameters (Å, degrees): 4.732 4.732 4.732 60.00 60.00 60.00
Fractional positions:
Cr 0.500 0.500 0.500
Tl 0.250 0.250 0.250
Tl 0.750 0.750 0.750
O 0.000 0.000 0.000

For the size of the total moment, the calculation gives 1.9 Bohr magnetons per cell. The calculation puts the total energy at -3.207 eV/atom. The volume is 74.9 Å³/cell. The excess energy over the best structure of this formula in the dataset is 1118 meV per atom.